# 1
A relaxed RbTl2ClF2 crystal, computed with PBE.

a b c (Å): 7.472 6.536 7.866
angles (deg): 90.00 109.86 90.00
Sites, in units of the cell vectors:
Rb: 0.188 0.250 0.472
Rb: 0.812 0.750 0.528
Tl: 0.069 0.250 0.938
Tl: 0.386 0.750 0.861
Tl: 0.614 0.250 0.139
Tl: 0.931 0.750 0.062
Cl: 0.349 0.750 0.246
Cl: 0.651 0.250 0.754
F: 0.126 0.505 0.735
F: 0.126 0.995 0.735
F: 0.874 0.005 0.265
F: 0.874 0.495 0.265

Fermi-level density of states, states/eV per cell: 0.0
Formation energy (no corrections), kcal/mol of atoms: -41.55

=====

# 2
A relaxed Ga2HgCl8 crystal, computed with PBE.

a b c (Å): 10.029 10.029 11.963
angles (deg): 124.59 124.59 52.04
Sites, in units of the cell vectors:
Ga: 0.161 0.664 0.961
Ga: 0.336 0.839 0.539
Ga: 0.664 0.161 0.461
Ga: 0.839 0.336 0.039
Hg: 0.498 0.502 0.750
Hg: 0.502 0.498 0.250
Cl: 0.115 0.199 0.057
Cl: 0.174 0.634 0.767
Cl: 0.199 0.115 0.557
Cl: 0.212 0.663 0.338
Cl: 0.302 0.389 0.976
Cl: 0.337 0.788 0.162
Cl: 0.366 0.826 0.733
Cl: 0.389 0.302 0.476
Cl: 0.611 0.698 0.524
Cl: 0.634 0.174 0.267
Cl: 0.663 0.212 0.838
Cl: 0.698 0.611 0.024
Cl: 0.788 0.337 0.662
Cl: 0.801 0.885 0.443
Cl: 0.826 0.366 0.233
Cl: 0.885 0.801 0.943

Fermi-level density of states, states/eV per cell: 0.0
Formation energy (no corrections), kcal/mol of atoms: -22.50
Relative energy among the computed polymorphs, eV per formula unit: 0.000